# NaZnPdRh2

Crystalline NaZnPdRh2 at its relaxed geometry (PBE, Alexandria via LeMat-Bulk).

energy of formation from the pure elements: 1.3722 eV/atom
mass density: 7.09 g/cm3
DFT total energy: -15.63 eV per cell

The structure in CIF format:
```
data_NaZnPdRh2
_chemical_formula_sum 'Na1 Zn1 Pd1 Rh2'
_symmetry_space_group_name_H-M 'P 4/m m m'
_symmetry_Int_Tables_number 123
_symmetry_space_group_name_Hall '-P 4 2'
_cell_length_a 4.568
_cell_length_b 4.568
_cell_length_c 4.497
_cell_angle_alpha 90.00
_cell_angle_beta 90.00
_cell_angle_gamma 90.00
loop_
_atom_site_label
_atom_site_fract_x
_atom_site_fract_y
_atom_site_fract_z
_atom_site_occupancy
Na1 0.000 0.000 0.000 1
Zn1 0.500 0.500 0.500 1
Pd1 0.000 0.000 0.500 1
Rh1 0.000 0.500 0.000 1
```

---

# BaP2AuS

Crystalline BaP2AuS at its relaxed geometry (PBE, Alexandria via LeMat-Bulk).

raw formation energy: -30 kJ/mol of formula units
mass density: 5.71 g/cm3
DFT total energy: -20.46 eV per cell

The structure in CIF format:
```
data_BaP2AuS
_chemical_formula_sum 'Ba1 P2 Au1 S1'
_symmetry_space_group_name_H-M 'P 4/m m m'
_symmetry_Int_Tables_number 123
_symmetry_space_group_name_Hall '-P 4 2'
_cell_length_a 4.862
_cell_length_b 4.862
_cell_length_c 5.270
_cell_angle_alpha 90.00
_cell_angle_beta 90.00
_cell_angle_gamma 90.00
loop_
_atom_site_label
_atom_site_fract_x
_atom_site_fract_y
_atom_site_fract_z
_atom_site_occupancy
Ba1 0.000 0.000 0.000 1
P1 0.000 0.500 0.500 1
Au1 0.500 0.500 0.500 1
S1 0.500 0.500 0.000 1
```

---

# SrLaTlCu

Crystalline SrLaTlCu at its relaxed geometry (PBE, Alexandria via LeMat-Bulk).

energy of formation from the pure elements: -0.1882 eV/atom
mass density: 6.95 g/cm3
DFT total energy: -55.30 eV per cell

The structure in CIF format:
```
data_SrLaTlCu
_chemical_formula_sum 'Sr4 La4 Tl4 Cu4'
_symmetry_space_group_name_H-M 'F -4 3 m'
_symmetry_Int_Tables_number 216
_symmetry_space_group_name_Hall 'F -4 2 3'
_cell_length_a 7.788
_cell_length_b 7.788
_cell_length_c 7.788
_cell_angle_alpha 90.00
_cell_angle_beta 90.00
_cell_angle_gamma 90.00
loop_
_atom_site_label
_atom_site_fract_x
_atom_site_fract_y
_atom_site_fract_z
_atom_site_occupancy
Sr1 0.000 0.000 0.000 1
La1 0.000 0.000 0.500 1
Tl1 0.250 0.250 0.250 1
Cu1 0.250 0.250 0.750 1
```

---

# Na6TeCl12

Crystalline Na6TeCl12 at its relaxed geometry (PBE, Alexandria via LeMat-Bulk).

raw formation energy: -2213 kJ/mol of formula units
mass density: 2.09 g/cm3
DFT total energy: -168.46 eV per cell

The structure in CIF format:
```
data_Na6TeCl12
_chemical_formula_sum 'Na18 Te3 Cl36'
_symmetry_space_group_name_H-M 'R -3'
_symmetry_Int_Tables_number 148
_symmetry_space_group_name_Hall '-R 3'
_cell_length_a 12.2778
_cell_length_b 12.2778
_cell_length_c 12.6389
_cell_angle_alpha 90.00
_cell_angle_beta 90.00
_cell_angle_gamma 120.00
loop_
_atom_site_label
_atom_site_fract_x
_atom_site_fract_y
_atom_site_fract_z
_atom_site_occupancy
Na1 0.0063 0.2238 0.1127 1
Te1 0.0000 0.0000 0.5000 1
Cl1 0.0082 0.2323 0.8956 1
Cl2 0.0095 0.8458 0.6128 1
```

---

# YHgIr2

Crystalline YHgIr2 at its relaxed geometry (PBE, Alexandria via LeMat-Bulk).

energy of formation from the pure elements: -0.1237 eV/atom
mass density: 14.74 g/cm3
DFT total energy: -49.97 eV per cell

The structure in CIF format:
```
data_YHgIr2
_chemical_formula_sum 'Y2 Hg2 Ir4'
_symmetry_space_group_name_H-M 'C 1 m 1'
_symmetry_Int_Tables_number 8
_cell_length_a 10.630
_cell_length_b 3.073
_cell_length_c 4.913
_cell_angle_alpha 90.00
_cell_angle_beta 108.91
_cell_angle_gamma 90.00
loop_
_symmetry_equiv_pos_as_xyz
'x,y,z'
'x,-y,z'
'x+1/2,y+1/2,z'
'x+1/2,-y+1/2,z'
loop_
_atom_site_label
_atom_site_fract_x
_atom_site_fract_y
_atom_site_fract_z
_atom_site_occupancy
Y1 0.000 0.000 0.000 1
Hg1 0.209 0.000 0.641 1
Ir1 0.260 0.500 0.166 1
Ir2 0.459 0.000 0.479 1
```

---

# KTi2PbC

Crystalline KTi2PbC at its relaxed geometry (PBE, Alexandria via LeMat-Bulk).

energy of formation from the pure elements: 2.1927 eV/atom
mass density: 2.93 g/cm3
DFT total energy: -18.86 eV per cell

The structure in CIF format:
```
data_KTi2PbC
_chemical_formula_sum 'K1 Ti2 Pb1 C1'
_symmetry_space_group_name_H-M 'P 4/m m m'
_symmetry_Int_Tables_number 123
_symmetry_space_group_name_Hall '-P 4 2'
_cell_length_a 5.397
_cell_length_b 5.397
_cell_length_c 6.888
_cell_angle_alpha 90.00
_cell_angle_beta 90.00
_cell_angle_gamma 90.00
loop_
_atom_site_label
_atom_site_fract_x
_atom_site_fract_y
_atom_site_fract_z
_atom_site_occupancy
K1 0.000 0.000 0.000 1
Ti1 0.000 0.500 0.500 1
Pb1 0.000 0.000 0.500 1
C1 0.500 0.500 0.000 1
```

---

# LiScIr4

Crystalline LiScIr4 at its relaxed geometry (PBE, Alexandria via LeMat-Bulk).

energy of formation from the pure elements: -0.3965 eV/atom
mass density: 13.72 g/cm3
DFT total energy: -184.27 eV per cell

The structure in CIF format:
```
data_LiScIr4
_chemical_formula_sum 'Li4 Sc4 Ir16'
_symmetry_space_group_name_H-M 'F -4 3 m'
_symmetry_Int_Tables_number 216
_symmetry_space_group_name_Hall 'F -4 2 3'
_cell_length_a 7.352
_cell_length_b 7.352
_cell_length_c 7.352
_cell_angle_alpha 90.00
_cell_angle_beta 90.00
_cell_angle_gamma 90.00
loop_
_atom_site_label
_atom_site_fract_x
_atom_site_fract_y
_atom_site_fract_z
_atom_site_occupancy
Li1 0.000 0.000 0.000 1
Sc1 0.250 0.250 0.250 1
Ir1 0.125 0.125 0.625 1
```

---

# TiGaTe2

Crystalline TiGaTe2 at its relaxed geometry (PBE, Alexandria via LeMat-Bulk).

raw formation energy: -166 kJ/mol of formula units
mass density: 5.92 g/cm3
DFT total energy: -75.71 eV per cell

The structure in CIF format:
```
data_TiGaTe2
_chemical_formula_sum 'Ti4 Ga4 Te8'
_symmetry_space_group_name_H-M 'C 1 2/m 1'
_symmetry_Int_Tables_number 12
_cell_length_a 10.464
_cell_length_b 3.809
_cell_length_c 10.804
_cell_angle_alpha 90.00
_cell_angle_beta 103.59
_cell_angle_gamma 90.00
loop_
_symmetry_equiv_pos_as_xyz
'x,y,z'
'-x,-y,-z'
'-x,y,-z'
'x,-y,z'
'x+1/2,y+1/2,z'
'-x+1/2,-y+1/2,-z'
'-x+1/2,y+1/2,-z'
'x+1/2,-y+1/2,z'
loop_
_atom_site_label
_atom_site_fract_x
_atom_site_fract_y
_atom_site_fract_z
_atom_site_occupancy
Ti1 0.049 0.000 0.390 1
Ga1 0.174 0.500 0.004 1
Te1 0.042 0.500 0.190 1
Te2 0.157 0.500 0.589 1
```

---

# Mn2CuIr

Crystalline Mn2CuIr at its relaxed geometry (PBE, Alexandria via LeMat-Bulk).

energy of formation from the pure elements: 0.1006 eV/atom
mass density: 11.75 g/cm3
DFT total energy: -30.89 eV per cell

The structure in CIF format:
```
data_Mn2CuIr
_chemical_formula_sum 'Mn2 Cu1 Ir1'
_symmetry_space_group_name_H-M 'P 4 m m'
_symmetry_Int_Tables_number 99
_cell_length_a 2.763
_cell_length_b 2.763
_cell_length_c 6.767
_cell_angle_alpha 90.00
_cell_angle_beta 90.00
_cell_angle_gamma 90.00
loop_
_symmetry_equiv_pos_as_xyz
'x,y,z'
'-y,x,z'
'-x,-y,z'
'y,-x,z'
'-x,y,z'
'y,x,z'
'x,-y,z'
'-y,-x,z'
loop_
_atom_site_label
_atom_site_fract_x
_atom_site_fract_y
_atom_site_fract_z
_atom_site_occupancy
Mn1 0.000 0.000 0.000 1
Mn2 0.500 0.500 0.248 1
Cu1 0.000 0.000 0.494 1
Ir1 0.500 0.500 0.767 1
```

---

# La2BiRh2

Crystalline La2BiRh2 at its relaxed geometry (PBE, Alexandria via LeMat-Bulk).

energy of formation from the pure elements: -0.6045 eV/atom
mass density: 9.91 g/cm3
DFT total energy: -94.38 eV per cell

The structure in CIF format:
```
data_La2BiRh2
_chemical_formula_sum 'La6 Bi3 Rh6'
_symmetry_space_group_name_H-M 'R -3 m'
_symmetry_Int_Tables_number 166
_symmetry_space_group_name_Hall '-R 3 2"'
_cell_length_a 4.9586
_cell_length_b 4.9586
_cell_length_c 16.3585
_cell_angle_alpha 90.00
_cell_angle_beta 90.00
_cell_angle_gamma 120.00
loop_
_atom_site_label
_atom_site_fract_x
_atom_site_fract_y
_atom_site_fract_z
_atom_site_occupancy
La1 0.0000 0.0000 0.2177 1
Bi1 0.0000 0.0000 0.0000 1
Rh1 0.0000 0.0000 0.4131 1
```

---

# V3As

Crystalline V3As at its relaxed geometry (PBE, Alexandria via LeMat-Bulk).

energy of formation from the pure elements: -0.2958 eV/atom
mass density: 7.01 g/cm3
DFT total energy: -33.19 eV per cell

The structure in CIF format:
```
data_V3As
_chemical_formula_sum 'V3 As1'
_symmetry_space_group_name_H-M 'P m -3 m'
_symmetry_Int_Tables_number 221
_symmetry_space_group_name_Hall '-P 4 2 3'
_cell_length_a 3.779
_cell_length_b 3.779
_cell_length_c 3.779
_cell_angle_alpha 90.00
_cell_angle_beta 90.00
_cell_angle_gamma 90.00
loop_
_atom_site_label
_atom_site_fract_x
_atom_site_fract_y
_atom_site_fract_z
_atom_site_occupancy
V1 0.000 0.000 0.500 1
As1 0.500 0.500 0.500 1
```

---

# CaYZr2

Crystalline CaYZr2 at its relaxed geometry (PBE, Alexandria via LeMat-Bulk).

energy of formation from the pure elements: 0.2746 eV/atom
mass density: 4.61 g/cm3
DFT total energy: -24.46 eV per cell

The structure in CIF format:
```
data_CaYZr2
_chemical_formula_sum 'Ca1 Y1 Zr2'
_symmetry_space_group_name_H-M 'P m m m'
_symmetry_Int_Tables_number 47
_cell_length_a 3.301
_cell_length_b 4.928
_cell_length_c 6.901
_cell_angle_alpha 90.00
_cell_angle_beta 90.00
_cell_angle_gamma 90.00
loop_
_symmetry_equiv_pos_as_xyz
'x,y,z'
'-x,-y,-z'
'-x,-y,z'
'x,y,-z'
'x,-y,-z'
'-x,y,z'
'-x,y,-z'
'x,-y,z'
loop_
_atom_site_label
_atom_site_fract_x
_atom_site_fract_y
_atom_site_fract_z
_atom_site_occupancy
Ca1 0.000 0.000 0.000 1
Y1 0.000 0.000 0.500 1
Zr1 0.500 0.500 0.277 1
```